[1]
First-principles (PBE-GGA) data for Lu2TiCd after structural relaxation, as listed in Alexandria via LeMat-Bulk.

```
data_Lu2TiCd
_chemical_formula_sum 'Lu2 Ti1 Cd1'
_cell_length_a 3.354
_cell_length_b 3.354
_cell_length_c 8.462
_cell_angle_alpha 90.00
_cell_angle_beta 90.00
_cell_angle_gamma 90.00
_space_group_name_H-M_alt 'P 4/m m m'
_space_group_IT_number 123
_space_group_name_Hall '-P 4 2'
loop_
_atom_site_label
_atom_site_type_symbol
_atom_site_fract_x
_atom_site_fract_y
_atom_site_fract_z
Lu1 Lu 0.000 0.000 0.240
Ti1 Ti 0.500 0.500 0.000
Cd1 Cd 0.500 0.500 0.500
```

## Properties
The density is 8.9 g/cm³. The energy of formation from the pure elements is -6.8 kJ per mole of atoms.


[2]
First-principles (PBE-GGA) data for La3PrTe6 after structural relaxation, as listed in Alexandria via LeMat-Bulk.

```
data_La3PrTe6
_chemical_formula_sum 'La6 Pr2 Te12'
_cell_length_a 14.370
_cell_length_b 8.533
_cell_length_c 8.034
_cell_angle_alpha 90.00
_cell_angle_beta 123.39
_cell_angle_gamma 90.00
_space_group_name_H-M_alt 'C 1 2/m 1'
_space_group_IT_number 12
loop_
_space_group_symop_operation_xyz
'x,y,z'
'-x,-y,-z'
'-x,y,-z'
'x,-y,z'
'x+1/2,y+1/2,z'
'-x+1/2,-y+1/2,-z'
'-x+1/2,y+1/2,-z'
'x+1/2,-y+1/2,z'
loop_
_atom_site_label
_atom_site_type_symbol
_atom_site_fract_x
_atom_site_fract_y
_atom_site_fract_z
La1 La 0.000 0.000 0.000
La2 La 0.250 0.000 0.692
Pr1 Pr 0.000 0.500 0.500
Te1 Te 0.090 0.250 0.342
Te2 Te 0.248 0.500 0.911
```

## Properties
The calculation puts the uncorrected formation energy at -1332 kJ/mol of formula units. The density is 5.3 g/cm³.


[3]
First-principles (PBE-GGA) data for LaSi2Ge2 after structural relaxation, as listed in Alexandria via LeMat-Bulk.

```
data_LaSi2Ge2
_chemical_formula_sum 'La2 Si4 Ge4'
_cell_length_a 7.575
_cell_length_b 7.575
_cell_length_c 3.629
_cell_angle_alpha 90.00
_cell_angle_beta 90.00
_cell_angle_gamma 90.00
_space_group_name_H-M_alt 'P 4/m b m'
_space_group_IT_number 127
_space_group_name_Hall '-P 4 2ab'
loop_
_atom_site_label
_atom_site_type_symbol
_atom_site_fract_x
_atom_site_fract_y
_atom_site_fract_z
La1 La 0.000 0.000 0.000
Si1 Si 0.114 0.386 0.000
Ge1 Ge 0.153 0.653 0.500
```

## Properties
The calculation puts the uncorrected formation energy at -49 kJ/mol of formula units. The density is 5.4 g/cm³.


[4]
First-principles (PBE-GGA) data for Bi2AsPd5 after structural relaxation, as listed in Alexandria via LeMat-Bulk.

```
data_Bi2AsPd5
_chemical_formula_sum 'Bi4 As2 Pd10'
_cell_length_a 6.194
_cell_length_b 6.194
_cell_length_c 8.085
_cell_angle_alpha 90.00
_cell_angle_beta 90.00
_cell_angle_gamma 90.00
_space_group_name_H-M_alt 'I 4 m m'
_space_group_IT_number 107
_space_group_name_Hall 'I 4 -2'
loop_
_atom_site_label
_atom_site_type_symbol
_atom_site_fract_x
_atom_site_fract_y
_atom_site_fract_z
Bi1 Bi 0.000 0.500 0.000
As1 As 0.000 0.000 0.323
Pd1 Pd 0.000 0.000 0.005
Pd2 Pd 0.228 0.228 0.739
```

## Properties
The density is 11.0 g/cm³. The energy of formation from the pure elements is -20.2 kJ per mole of atoms.


[5]
First-principles (PBE-GGA) data for Ac2Ga3Au4 after structural relaxation, as listed in Alexandria via LeMat-Bulk.

```
data_Ac2Ga3Au4
_chemical_formula_sum 'Ac8 Ga12 Au16'
_cell_length_a 6.250
_cell_length_b 16.304
_cell_length_c 8.081
_cell_angle_alpha 90.00
_cell_angle_beta 90.00
_cell_angle_gamma 90.00
_space_group_name_H-M_alt 'C m c e'
_space_group_IT_number 64
_space_group_name_Hall '-C 2ac 2'
loop_
_atom_site_label
_atom_site_type_symbol
_atom_site_fract_x
_atom_site_fract_y
_atom_site_fract_z
Ac1 Ac 0.000 0.115 0.086
Ga1 Ga 0.000 0.000 0.500
Ga2 Ga 0.250 0.217 0.750
Au1 Au 0.000 0.187 0.468
Au2 Au 0.250 0.048 0.750
```

## Properties
The density is 11.7 g/cm³. The energy of formation from the pure elements is -58.2 kJ per mole of atoms.


[6]
First-principles (PBE-GGA) data for TaBeP2O after structural relaxation, as listed in Alexandria via LeMat-Bulk.

```
data_TaBeP2O
_chemical_formula_sum 'Ta1 Be1 P2 O1'
_cell_length_a 4.886
_cell_length_b 4.886
_cell_length_c 2.822
_cell_angle_alpha 90.00
_cell_angle_beta 90.00
_cell_angle_gamma 90.00
_space_group_name_H-M_alt 'P 4/m m m'
_space_group_IT_number 123
_space_group_name_Hall '-P 4 2'
loop_
_atom_site_label
_atom_site_type_symbol
_atom_site_fract_x
_atom_site_fract_y
_atom_site_fract_z
Ta1 Ta 0.000 0.000 0.000
Be1 Be 0.500 0.500 0.500
P1 P 0.000 0.500 0.500
O1 O 0.500 0.500 0.000
```

## Properties
The calculation puts the uncorrected formation energy at -114 kJ/mol of formula units. The density is 6.6 g/cm³.


[7]
First-principles (PBE-GGA) data for BaNpRh2 after structural relaxation, as listed in Alexandria via LeMat-Bulk.

```
data_BaNpRh2
_chemical_formula_sum 'Ba3 Np3 Rh6'
_cell_length_a 4.4682
_cell_length_b 4.4682
_cell_length_c 18.5303
_cell_angle_alpha 90.00
_cell_angle_beta 90.00
_cell_angle_gamma 120.00
_space_group_name_H-M_alt 'R -3 m'
_space_group_IT_number 166
_space_group_name_Hall '-R 3 2"'
loop_
_atom_site_label
_atom_site_type_symbol
_atom_site_fract_x
_atom_site_fract_y
_atom_site_fract_z
Ba1 Ba 0.0000 0.0000 0.0000
Np1 Np 0.0000 0.0000 0.5000
Rh1 Rh 0.0000 0.0000 0.2025
```

## Properties
The density is 9.0 g/cm³. The energy of formation from the pure elements is -25.8 kJ per mole of atoms.


[8]
First-principles (PBE-GGA) data for Sr2In5Hg4 after structural relaxation, as listed in Alexandria via LeMat-Bulk.

```
data_Sr2In5Hg4
_chemical_formula_sum 'Sr4 In10 Hg8'
_cell_length_a 14.273
_cell_length_b 6.167
_cell_length_c 9.306
_cell_angle_alpha 90.00
_cell_angle_beta 130.67
_cell_angle_gamma 90.00
_space_group_name_H-M_alt 'C 1 2/m 1'
_space_group_IT_number 12
loop_
_space_group_symop_operation_xyz
'x,y,z'
'-x,-y,-z'
'-x,y,-z'
'x,-y,z'
'x+1/2,y+1/2,z'
'-x+1/2,-y+1/2,-z'
'-x+1/2,y+1/2,-z'
'x+1/2,-y+1/2,z'
loop_
_atom_site_label
_atom_site_type_symbol
_atom_site_fract_x
_atom_site_fract_y
_atom_site_fract_z
Sr1 Sr 0.192 0.000 0.191
In1 In 0.000 0.252 0.323
In2 In 0.000 0.500 0.000
Hg1 Hg 0.248 0.500 0.085
Hg2 Hg 0.248 0.500 0.411
```

## Properties
The density is 8.3 g/cm³. The energy of formation from the pure elements is -24.1 kJ per mole of atoms.